Entry 1:
## CsK3I4 (PBE)

Data for crystalline CsK3I4 at its relaxed geometry.

## Properties
Calculated density, Mg/m³: 3.1
VASP energy, eV/atom: -2.77
Relative energy among the computed polymorphs, meV per atom: 13
SG: Pm-3m
ΔE_f (raw), meV per atom: -1478.8
Volume, Å³ per cell: 401

Cell: 7.3728 7.3728 7.3728 Å, 90.00 90.00 90.00°
Element x y z (fractional)
Cs1 0.0000 0.0000 0.0000
K1 0.0000 0.5000 0.5000
K2 0.5000 0.0000 0.5000
K3 0.5000 0.5000 0.0000
I1 0.5000 0.0000 0.0000
I2 0.0000 0.5000 0.0000
I3 0.0000 0.0000 0.5000
I4 0.5000 0.5000 0.5000

=====

Entry 2:
## Tc2MoIr (PBE)

Data for crystalline Tc2MoIr at its relaxed geometry.

## Properties
Calculated density, Mg/m³: 13.2
VASP energy, eV/atom: -9.93
Relative energy among the computed polymorphs, meV per atom: 318
SG: P4mm
Energy relative to the elements, eV per atom: 0.18
Volume, Å³ per cell: 61

Cell: 3.2732 3.2732 5.6813 Å, 90.00 90.00 90.00°
Element x y z (fractional)
Ir1 0.0000 0.0000 0.5161
Mo1 0.5000 0.5000 0.7301
Tc1 0.0000 0.0000 0.0086
Tc2 0.5000 0.5000 0.2452

=====

Entry 3:
## KTl2Ag2 (PBE)

Data for crystalline KTl2Ag2 at its relaxed geometry.

## Properties
Calculated density, Mg/m³: 7.4
VASP energy, eV/atom: -2.32
Relative energy among the computed polymorphs, meV per atom: 0
SG: C2/m
Energy relative to the elements, eV per atom: -0.01
Volume, Å³ per cell: 148

Cell: 4.7965 5.5921 6.3633 Å, 108.66 112.14 90.00°
Element x y z (fractional)
K1 0.0000 0.0000 0.0000
Tl1 0.3543 0.4348 0.7087
Tl2 0.6457 0.5652 0.2913
Ag1 0.7378 0.1335 0.4755
Ag2 0.2622 0.8665 0.5245

=====

Entry 4:
## TiReBi2C (PBE)

Data for crystalline TiReBi2C at its relaxed geometry.

## Properties
Calculated density, Mg/m³: 8.3
VASP energy, eV/atom: -5.21
SG: P4/mmm
Energy relative to the elements, eV per atom: 2.25
Volume, Å³ per cell: 132

Cell: 5.3180 4.6768 5.3180 Å, 90.00 90.00 90.00°
Site moments in Bohr magnetons follow the coordinates.
Element x y z (fractional)
Re1 0.0000 0.5000 0.0000  -1.71
C1 0.5000 0.5000 0.5000  0.77
Bi1 0.0000 0.0000 0.5000  -0.02
Bi2 0.5000 0.0000 0.0000  0.00
Ti1 0.0000 0.0000 0.0000  0.27